# 1
Here is crystalline La2Br at its relaxed geometry from Alexandria via LeMat-Bulk. Energies are from PBE.

Output
Relative energy among the computed polymorphs, eV per atom: 0.063
Uncorrected formation energy, eV/f.u.: -2.31
Total DFT energy (no corrections), eV/atom: -4.611

```
data_La2Br
_chemical_formula_sum 'La2 Br1'
_symmetry_space_group_name_H-M 'P -3 m 1'
_symmetry_Int_Tables_number 164
_symmetry_space_group_name_Hall '-P 3 2"'
_cell_length_a 3.9024
_cell_length_b 3.9024
_cell_length_c 7.8267
_cell_angle_alpha 90.00
_cell_angle_beta 90.00
_cell_angle_gamma 120.00
loop_
_atom_site_label
_atom_site_type_symbol
_atom_site_fract_x
_atom_site_fract_y
_atom_site_fract_z
La1 La 0.3333 0.6667 0.3106
Br1 Br 0.0000 0.0000 0.0000
```

---

# 2
Here is crystalline La2Br at its relaxed geometry from Alexandria via LeMat-Bulk. Energies are from PBE.

Output
Relative energy among the computed polymorphs, eV per atom: 0.140
Uncorrected formation energy, eV/f.u.: -2.08
Total DFT energy (no corrections), eV/atom: -4.534

```
data_La2Br
_chemical_formula_sum 'La8 Br4'
_symmetry_space_group_name_H-M 'C m c m'
_symmetry_Int_Tables_number 63
_symmetry_space_group_name_Hall '-C 2c 2'
_cell_length_a 5.3560
_cell_length_b 19.8250
_cell_length_c 3.6054
_cell_angle_alpha 90.00
_cell_angle_beta 90.00
_cell_angle_gamma 90.00
loop_
_atom_site_label
_atom_site_type_symbol
_atom_site_fract_x
_atom_site_fract_y
_atom_site_fract_z
La1 La 0.0000 0.0867 0.2500
La2 La 0.0000 0.2777 0.7500
Br1 Br 0.0000 0.4181 0.2500
```

---

# 3
Here is crystalline LaBr3 at its relaxed geometry from Alexandria via LeMat-Bulk. Energies are from PBE.

Output
Uncorrected formation energy, eV/f.u.: -7.99
Total DFT energy (no corrections), eV/atom: -4.484

```
data_LaBr3
_chemical_formula_sum 'La2 Br6'
_symmetry_space_group_name_H-M 'P 63/m'
_symmetry_Int_Tables_number 176
_symmetry_space_group_name_Hall '-P 6c'
_cell_length_a 8.1323
_cell_length_b 8.1323
_cell_length_c 4.4930
_cell_angle_alpha 90.00
_cell_angle_beta 90.00
_cell_angle_gamma 120.00
loop_
_atom_site_label
_atom_site_type_symbol
_atom_site_fract_x
_atom_site_fract_y
_atom_site_fract_z
La1 La 0.3333 0.6667 0.2500
Br1 Br 0.0882 0.3893 0.7500
```